VASP calculation (GGA-PBE) on a relaxed Cu2Ni2Sn crystal.

N(E_F) = 0.98 states/eV per atom
energy relative to the elements = 0.09 eV per atom
electronic total energy = -46.61 eV per cell
space-group type = No. 127
offset from the most stable computed form = 0.1306 eV/atom

abc: 6.858 6.858 2.889
angles: 90.00 90.00 90.00
Fractional positions:
1 Ni 0.168 0.668 0.500
2 Ni 0.668 0.832 0.500
3 Ni 0.832 0.332 0.500
4 Ni 0.332 0.168 0.500
5 Sn 0.000 0.000 0.000
6 Sn 0.500 0.500 0.000
7 Cu 0.374 0.874 0.000
8 Cu 0.874 0.626 0.000
9 Cu 0.626 0.126 0.000
10 Cu 0.126 0.374 0.000